Entry 1:
DFT (PBE) results for a geometry-optimized NaTbTiO4 structure.

Results
Uncorrected energy, eV per atom: -7.72
DOS at the Fermi energy, states/eV/cell: 0.0
Raw formation energy, eV per atom: -2.913
Total magnetization, μB/cell: 0.0

abc: 6.1959 6.4390 6.4390
angles: 64.10 61.24 61.24
With the nearest neighbours (Å) after each atom.
Fractional coordinates of all 14 atoms:
O 0.7575 0.7437 0.2437  1 Ti 1.91
O 0.7449 0.2563 0.7563  1 Ti 1.91
O 0.7443 0.2868 0.2245  1 Ti 1.82
Ti 0.3712 0.3788 0.8788  4 O 1.82-1.91
O 0.2557 0.2755 0.2132  1 Ti 1.82
Tb 0.0000 0.0000 0.0000  6 O 2.30-2.31
O 0.7443 0.7245 0.7868  1 Ti 1.82
O 0.2551 0.7437 0.2437  1 Ti 1.91
Ti 0.6288 0.6212 0.1212  4 O 1.82-1.91
Tb 0.0000 0.5000 0.5000  6 O 2.30-2.31
O 0.2425 0.2563 0.7563  1 Ti 1.91
O 0.2557 0.7132 0.7755  1 Ti 1.82
Na 0.5000 0.0000 0.5000  6 O 2.30-2.47
Na 0.0000 0.0000 0.5000  6 O 2.30-2.47

=====

Entry 2:
DFT (PBE) results for a geometry-optimized Na3TbTl2O6 structure.

Results
Uncorrected energy, eV per atom: -5.21
Raw formation energy, eV per atom: -1.622
Total magnetization, μB/cell: 0.0

abc: 5.8990 5.8990 5.9785
angles: 99.41 99.41 120.02
With the nearest neighbours (Å) after each atom.
Fractional coordinates of all 12 atoms:
O 0.2559 0.2559 0.7751  1 Tb 2.33, 2 Tl 2.34, 3 Na 2.52-2.55
O 0.9257 0.5951 0.7759  1 Tb 2.32, 2 Tl 2.35, 3 Na 2.48-2.50
O 0.4049 0.0743 0.2241  1 Tb 2.32, 2 Tl 2.35, 3 Na 2.48-2.50
Tl 0.3338 0.6662 0.0000  6 O 2.34-2.35
O 0.0743 0.4049 0.2241  1 Tb 2.32, 2 Tl 2.35, 3 Na 2.48-2.50
Na 0.5000 0.5000 0.5000  6 O 2.50-2.52
Na 0.8266 0.1734 0.5000  6 O 2.48-2.55
Tb 0.0000 0.0000 0.0000  6 O 2.32-2.33
O 0.7441 0.7441 0.2249  1 Tb 2.33, 2 Tl 2.34, 3 Na 2.52-2.55
O 0.5951 0.9257 0.7759  1 Tb 2.32, 2 Tl 2.35, 3 Na 2.48-2.50
Na 0.1734 0.8266 0.5000  6 O 2.48-2.55
Tl 0.6662 0.3338 0.0000  6 O 2.34-2.35

=====

Entry 3:
DFT (PBE) results for a geometry-optimized Na3Tb2TmO6 structure.

Results
Uncorrected energy, eV per atom: -6.76
DOS at the Fermi energy, states/eV/cell: 0.0
Raw formation energy, eV per atom: -2.807
Total magnetization, μB/cell: 0.0

abc: 5.9285 5.9285 5.9205
angles: 99.60 99.60 120.01
With the nearest neighbours (Å) after each atom.
Fractional coordinates of all 12 atoms:
O 0.3978 0.0702 0.2108  1 Tm 2.27, 2 Tb 2.31, 2 Na 2.54
O 0.2576 0.2576 0.7899  1 Tm 2.27, 2 Tb 2.31, 2 Na 2.53
Na 0.5000 0.5000 0.5000  6 O 2.54-2.58
Tm 0.0000 0.0000 0.0000  6 O 2.27
Tb 0.6668 0.3332 0.0000  6 O 2.31
O 0.9298 0.6022 0.7892  1 Tm 2.27, 2 Tb 2.31, 2 Na 2.54
Na 0.8357 0.1643 0.5000  6 O 2.53-2.59
Tb 0.3332 0.6668 0.0000  6 O 2.31
O 0.0702 0.3978 0.2108  1 Tm 2.27, 2 Tb 2.31, 2 Na 2.54
O 0.7424 0.7424 0.2101  1 Tm 2.27, 2 Tb 2.31, 2 Na 2.53
Na 0.1643 0.8357 0.5000  6 O 2.53-2.59
O 0.6022 0.9298 0.7892  1 Tm 2.27, 2 Tb 2.31, 2 Na 2.54

=====

Entry 4:
DFT (PBE) results for a geometry-optimized Na3Tb3UO8 structure.

Results
Uncorrected energy, eV per atom: -7.39
DOS at the Fermi energy, states/eV/cell: 7.7
Raw formation energy, eV per atom: -2.808
Total magnetization, μB/cell: 2.0

abc: 6.9490 6.9491 6.9197
angles: 120.14 90.00 120.00
With the nearest neighbours (Å) after each atom.
Fractional coordinates of all 15 atoms:
O 0.2269 0.4537 0.6998  1 U 2.23, 2 Tb 2.34
O 0.7363 0.4725 0.7087  3 Tb 2.33, 3 Na 2.59
O 0.7731 0.5463 0.3002  1 U 2.23, 2 Tb 2.34
Tb 0.5000 0.5000 0.5000  6 O 2.33-2.34
Na 0.5000 0.5000 0.0000  6 O 2.59-2.60
O 0.2637 0.5275 0.2913  3 Tb 2.33, 3 Na 2.59
U 0.0000 0.0000 0.5000  6 O 2.23
Na 0.0000 0.0000 0.0000  6 O 2.59-2.60
Na 0.0000 0.5000 0.0000  6 O 2.59-2.60
Tb 0.0000 0.5000 0.5000  6 O 2.33-2.34
O 0.7462 0.9731 0.6999  1 U 2.23, 2 Tb 2.34
Tb 0.5000 0.0000 0.5000  6 O 2.33-2.34
O 0.2538 0.0269 0.3001  1 U 2.23, 2 Tb 2.34
O 0.2269 0.9731 0.6999  1 U 2.23, 2 Tb 2.34
O 0.7731 0.0269 0.3001  1 U 2.23, 2 Tb 2.34

=====

Entry 5:
DFT (PBE) results for a geometry-optimized NaTb2UO6 structure.

Results
Uncorrected energy, eV per atom: -8.33
Raw formation energy, eV per atom: -3.168
Total magnetization, μB/cell: 1.0

abc: 5.8818 5.8817 6.1467
angles: 61.42 61.42 60.00
With the nearest neighbours (Å) after each atom.
Fractional coordinates of all 10 atoms:
Tb 0.0181 0.0181 0.9456  6 O 2.25-2.38
Tb 0.5274 0.5274 0.4179  6 O 2.27-2.41
O 0.1515 0.3848 0.7673  1 U 2.16, 2 Tb 2.25-2.41
O 0.9332 0.6001 0.2329  1 U 2.18, 2 Tb 2.27-2.38
O 0.6001 0.2338 0.2328  1 U 2.18, 2 Tb 2.27-2.38
O 0.2338 0.9332 0.2328  1 U 2.18, 2 Tb 2.27-2.38
Na 0.7989 0.7989 0.6033  6 O 2.42-2.66
O 0.6964 0.1515 0.7673  1 U 2.16, 2 Tb 2.25-2.41
O 0.3848 0.6964 0.7673  1 U 2.16, 2 Tb 2.25-2.41
U 0.3173 0.3173 0.0480  6 O 2.16-2.18

=====

- Which formula does entry 4 have?
  Na3Tb3UO8

=====

Repeat the fifth record exactly.
DFT (PBE) results for a geometry-optimized NaTb2UO6 structure.

Results
Uncorrected energy, eV per atom: -8.33
Raw formation energy, eV per atom: -3.168
Total magnetization, μB/cell: 1.0

abc: 5.8818 5.8817 6.1467
angles: 61.42 61.42 60.00
With the nearest neighbours (Å) after each atom.
Fractional coordinates of all 10 atoms:
Tb 0.0181 0.0181 0.9456  6 O 2.25-2.38
Tb 0.5274 0.5274 0.4179  6 O 2.27-2.41
O 0.1515 0.3848 0.7673  1 U 2.16, 2 Tb 2.25-2.41
O 0.9332 0.6001 0.2329  1 U 2.18, 2 Tb 2.27-2.38
O 0.6001 0.2338 0.2328  1 U 2.18, 2 Tb 2.27-2.38
O 0.2338 0.9332 0.2328  1 U 2.18, 2 Tb 2.27-2.38
Na 0.7989 0.7989 0.6033  6 O 2.42-2.66
O 0.6964 0.1515 0.7673  1 U 2.16, 2 Tb 2.25-2.41
O 0.3848 0.6964 0.7673  1 U 2.16, 2 Tb 2.25-2.41
U 0.3173 0.3173 0.0480  6 O 2.16-2.18